NdIr2Rh3: optimized geometry, PBE.

Geometry as extended XYZ:
```
12
Lattice="2.831 1.634 7.098 -2.831 1.634 7.098 0.000 -3.269 7.098" Properties=species:S:1:pos:R:3 pbc="T T T"
Nd 0.000 0.000 4.602
Nd 0.000 0.000 16.692
Ir 0.000 0.000 0.000
Ir -1.415 -0.817 7.098
Ir -1.415 0.817 14.196
Ir 0.000 1.634 7.098
Rh -1.373 -0.793 11.997
Rh 0.000 -1.586 9.297
Rh -1.373 0.793 9.297
Rh 1.373 -0.793 11.997
Rh 0.000 1.586 11.997
Rh 1.373 0.793 9.297
```

Properties
- Crystal system: trigonal
- Uncorrected energy: -7.592 eV/atom

Pr2Nb2Ni15: optimized geometry, PBE.

Geometry as extended XYZ:
```
19
Lattice="4.236 2.446 4.182 -4.236 2.446 4.182 0.000 -4.891 4.182" Properties=species:S:1:pos:R:3 pbc="T T T"
Pr 0.000 0.000 1.894
Pr 0.000 0.000 10.651
Nb 0.000 0.000 5.010
Nb 0.000 0.000 7.535
Ni -2.118 -1.223 4.182
Ni 0.000 -2.437 4.051
Ni -2.111 1.219 4.051
Ni -1.255 -2.174 6.272
Ni -2.511 0.000 6.272
Ni -2.111 -1.219 8.494
Ni -2.118 1.223 8.363
Ni 1.255 -2.174 6.272
Ni 0.000 2.446 4.182
Ni -1.255 2.174 6.272
Ni 2.111 1.219 4.051
Ni 2.511 0.000 6.272
Ni 1.255 2.174 6.272
Ni 2.111 -1.219 8.494
Ni 0.000 2.437 8.494
```

Properties
- Crystal system: trigonal
- Uncorrected energy: -6.339 eV/atom

Rb2PtCl5: optimized geometry, PBE.

Geometry as extended XYZ:
```
8
Lattice="-3.680 3.680 4.812 3.680 -3.680 4.812 3.680 3.680 -4.812" Properties=species:S:1:pos:R:3 pbc="T T T"
Rb 3.680 0.000 0.000
Rb 0.000 3.680 0.000
Pt 0.000 0.000 2.305
Cl 2.028 2.028 -2.364
Cl 1.652 -1.652 2.448
Cl -1.652 1.652 2.448
Cl 1.652 1.652 2.448
Cl 0.000 0.000 9.436
```

Properties
- Formation energy (no corrections): -1.1990 eV/atom
- Crystal system: tetragonal
- Uncorrected energy: -3.350 eV/atom

KCdSn3: optimized geometry, PBE.

Geometry as extended XYZ:
```
5
Lattice="-2.402 2.709 6.060 2.402 -2.709 6.060 2.402 2.709 -6.060" Properties=species:S:1:pos:R:3 pbc="T T T"
K 0.000 0.000 0.000
Cd 0.000 0.000 4.586
Sn 2.402 0.000 2.877
Sn 0.000 0.000 7.450
Sn 0.000 2.709 3.187
```

Properties
- Crystal system: orthorhombic
- Uncorrected energy: -2.958 eV/atom

UPd12Pt7: optimized geometry, PBE.

Geometry as extended XYZ:
```
20
Lattice="6.401 3.695 2.395 -6.401 3.695 2.395 0.000 -7.391 2.395" Properties=species:S:1:pos:R:3 pbc="T T T"
U 0.000 0.000 0.000
Pd -1.570 -4.181 2.834
Pd -2.076 -1.501 2.893
Pd -4.406 -0.731 4.352
Pd -2.836 3.450 2.834
Pd -2.338 1.047 4.292
Pd -0.262 2.548 2.893
Pd 0.262 -2.548 4.292
Pd 2.338 -1.047 2.893
Pd 2.836 -3.450 4.352
Pd 4.406 0.731 2.834
Pd 2.076 1.501 4.292
Pd 1.570 4.181 4.352
Pt -1.973 0.848 1.571
Pt 0.252 -2.133 1.571
Pt 1.721 1.284 1.571
Pt 0.000 0.000 3.593
Pt -1.721 -1.284 5.614
Pt -0.252 2.133 5.614
Pt 1.973 -0.848 5.614
```

Properties
- Crystal system: trigonal
- Uncorrected energy: -5.826 eV/atom

La2GaRuRh: optimized geometry, PBE.

Geometry as extended XYZ:
```
5
Lattice="5.443 0.000 0.000 0.000 5.443 0.000 0.000 0.000 4.743" Properties=species:S:1:pos:R:3 pbc="T T T"
La 0.000 2.721 0.000
La 2.721 0.000 0.000
Ga 0.000 0.000 2.371
Ru 2.721 2.721 0.000
Rh 2.721 2.721 2.371
```

Properties
- Crystal system: tetragonal
- Uncorrected energy: -5.883 eV/atom